[1]
This record from Alexandria describes crystalline LiZnCu2C at its relaxed geometry. The functional is PBE.

E_form: 1699.3 meV/atom
Spin magnetization: 0.67 μB/cell
D(E_F): 0.573 states/eV per atom
VASP energy: -2.422 eV/atom

Lattice parameters (Å, degrees): 4.4155 4.4155 4.3648 90.00 90.00 90.00
Last column: nearest neighbours and their distance in Å.
Space group P4/mmm (No. 123)
Symmetry-distinct sites (fractional):
Li1 0.0000 0.0000 0.0000 (multiplicity 1)  2 Zn 2.18
Zn1 0.0000 0.0000 0.5000 (multiplicity 1)  2 Li 2.18, 4 Cu 2.21
Cu1 0.0000 0.5000 0.5000 (multiplicity 2)  2 Zn 2.21
C1 0.5000 0.5000 0.0000 (multiplicity 1)  8 Cu 3.10, 4 Li 3.12

---

[2]
This record from Alexandria describes crystalline LiZr2CuC at its relaxed geometry. The functional is PBE.

E_form: -26.0 meV/atom
Spin magnetization: 0.00 μB/cell
D(E_F): 0.596 states/eV per atom
VASP energy: -6.492 eV/atom

Lattice parameters (Å, degrees): 4.5703 4.5703 3.8660 90.00 90.00 90.00
Last column: nearest neighbours and their distance in Å.
Space group P4/mmm (No. 123)
Symmetry-distinct sites (fractional):
Li1 0.0000 0.0000 0.0000 (multiplicity 1)  8 Zr 2.99, 4 Cu 3.23
Zr1 0.0000 0.5000 0.5000 (multiplicity 2)  2 C 2.29
Cu1 0.5000 0.5000 0.0000 (multiplicity 1)  2 C 1.93
C1 0.5000 0.5000 0.5000 (multiplicity 1)  2 Cu 1.93

---

What is the E_form in the first record? 1699.3 meV/atom

---

The lowest D(E_F) belongs to which entry? LiZnCu2C